Record 1
## CsTeP2H6 (PBE-GGA)

Data for CsTeP2H6 after structural relaxation.

The structure belongs to space group C2/c (No. 15); the cell edges are 8.0560, 12.4386 and 7.3852 Å and the angles 90.00°, 90.42° and 90.00°. The asymmetric unit holds Cs at (0.0000, 0.1990, 0.2500), Te at (0.0000, 0.3277, 0.7500), P at (0.2440, 0.0450, 0.7478), H at (0.1504, 0.1488, 0.7474), H at (0.1499, 0.4202, 0.1072) and H at (0.1497, 0.4201, 0.3952).

For the calculated volume, the calculation gives 18.5 Å³/atom. For the density of states at the Fermi level, the calculation gives 0.354 states/eV/atom. The electronic total energy is -36.16 eV/f.u. The total magnetization comes out at 0.00 μB per cell.



Record 2
## CsTePH (PBE-GGA)

Data for CsTePH after structural relaxation.

The structure belongs to space group Cm (No. 8); the cell edges are 11.6829, 4.7105 and 5.7954 Å and the angles 90.00°, 111.25° and 90.00°. The asymmetric unit holds Cs at (0.0000, 0.0000, 0.0000), Te at (0.1317, 0.5000, 0.5934), P at (0.2444, 0.0000, 0.6684) and H at (0.2618, 0.0000, 0.4357).

For the calculated volume, the calculation gives 37.2 Å³/atom. For the density of states at the Fermi level, the calculation gives 0.283 states/eV/atom. For the excess energy over the best structure of this formula in the dataset, the calculation gives 9 meV/atom. The total magnetization comes out at 0.00 μB per cell.